Here is crystalline CsOsN2 at its relaxed geometry from Alexandria via LeMat-Bulk. Energies are from GGA-PBEsol.

Density: 7.49 g cm⁻³
E_form (uncorrected): 0.1 eV per formula unit
Crystal system: tetragonal
Total magnetic moment: 0.000 μB per atom

Lattice parameters (Å, degrees): 6.2516 6.2516 6.2516 125.65 125.65 80.47
Closest atoms and distances in Å follow each position.
Sites, in units of the cell vectors:
Cs (0.3750, 0.6250, 0.7500)  8 N 3.41, 4 Os 3.72, 4 Cs 3.72
Cs (0.6250, 0.3750, 0.2500)  8 N 3.41, 4 Os 3.72, 4 Cs 3.72
Os (0.1250, 0.8750, 0.2500)  4 N 1.86
Os (0.8750, 0.1250, 0.7500)  4 N 1.86
N (0.0000, 0.0000, 0.0000)  2 Os 1.86
N (0.0000, 0.0000, 0.5000)  2 Os 1.86
N (0.0000, 0.5000, 0.0000)  2 Os 1.86
N (0.5000, 0.0000, 0.5000)  2 Os 1.86